Record 1
{
  "formula": "Tl3AgAu",
  "functional": "PBE-GGA",
  "state": "relaxed",
  "e_form_ev_per_atom": 0.311,
  "magmom_total_mub_per_cell": 0.00,
  "dft_energy_ev_per_atom": -2.3340,
  "rho_g_cm3": 9.0,
  "cell": [[5.5400, 0.0000, 0.0000], [0.0000, 5.5400, 0.0000], [0.0000, 0.0000, 5.5400]],
  "species": ["Tl", "Tl", "Tl", "Ag", "Au"],
  "frac_coords": [[0.0000, 0.0000, 0.5000], [0.0000, 0.5000, 0.0000], [0.5000, 0.0000, 0.0000], [0.5000, 0.5000, 0.5000], [0.0000, 0.0000, 0.0000]]
}

=====

Record 2
{
  "formula": "Ba7Hg2Pt2",
  "functional": "PBE-GGA",
  "state": "relaxed",
  "e_form_ev_per_atom": -0.340,
  "magmom_total_mub_per_cell": 0.00,
  "dft_energy_ev_per_atom": -2.7167,
  "rho_g_cm3": 4.8,
  "cell": [[5.0595, -7.0514, 0.0000], [5.0595, 7.0514, 0.0000], [-1.0147, 0.0000, 8.5091]],
  "species": ["Ba", "Ba", "Ba", "Ba", "Ba", "Ba", "Ba", "Hg", "Hg", "Pt", "Pt"],
  "frac_coords": [[0.0000, 0.0000, 0.0000], [0.0532, 0.4431, 0.7451], [0.4301, 0.4301, 0.2306], [0.4431, 0.0532, 0.7451], [0.5569, 0.9468, 0.2549], [0.5699, 0.5699, 0.7694], [0.9468, 0.5569, 0.2549], [0.3098, 0.6902, 0.5000], [0.6902, 0.3098, 0.5000], [0.2828, 0.2828, 0.8953], [0.7172, 0.7172, 0.1047]]
}

=====

Record 3
{
  "formula": "AlZn2Ga3",
  "functional": "PBE-GGA",
  "state": "relaxed",
  "e_form_ev_per_atom": 0.055,
  "magmom_total_mub_per_cell": 0.00,
  "dft_energy_ev_per_atom": -2.5065,
  "rho_g_cm3": 5.8,
  "cell": [[2.4646, -4.1663, 0.0000], [2.4646, 4.1663, 0.0000], [0.0000, 0.0000, 5.1560]],
  "species": ["Al", "Zn", "Zn", "Ga", "Ga", "Ga"],
  "frac_coords": [[0.0000, 0.0000, 0.0000], [0.3327, 0.6673, 0.0000], [0.6673, 0.3327, 0.0000], [0.1659, 0.8341, 0.5000], [0.5000, 0.5000, 0.5000], [0.8341, 0.1659, 0.5000]]
}

=====

Record 4
{
  "formula": "RbBa2Ga2",
  "functional": "PBE-GGA",
  "state": "relaxed",
  "e_form_ev_per_atom": -0.107,
  "magmom_total_mub_per_cell": 0.00,
  "dft_energy_ev_per_atom": -2.2801,
  "rho_g_cm3": 4.3,
  "cell": [[9.9472, 0.0000, 0.0000], [0.0000, 9.9472, 0.0000], [0.0000, 0.0000, 3.9327]],
  "species": ["Rb", "Rb", "Ba", "Ba", "Ba", "Ba", "Ga", "Ga", "Ga", "Ga"],
  "frac_coords": [[0.0000, 0.0000, 0.0000], [0.5000, 0.5000, 0.0000], [0.1439, 0.3561, 0.0000], [0.3561, 0.8561, 0.0000], [0.6439, 0.1439, 0.0000], [0.8561, 0.6439, 0.0000], [0.1487, 0.6487, 0.5000], [0.3513, 0.1487, 0.5000], [0.6487, 0.8513, 0.5000], [0.8513, 0.3513, 0.5000]]
}

=====

Record 5
{
  "formula": "SrLiNdPt",
  "functional": "PBE-GGA",
  "state": "relaxed",
  "e_form_ev_per_atom": -0.440,
  "magmom_total_mub_per_cell": 0.00,
  "dft_energy_ev_per_atom": -4.0407,
  "rho_g_cm3": 7.2,
  "cell": [[0.0000, 3.6916, 3.6916], [3.6916, 0.0000, 3.6916], [3.6916, 3.6916, 0.0000]],
  "species": ["Sr", "Li", "Nd", "Pt"],
  "frac_coords": [[0.0000, 0.0000, 0.0000], [0.2500, 0.2500, 0.2500], [0.5000, 0.5000, 0.5000], [0.7500, 0.7500, 0.7500]]
}

=====

Record 6
{
  "formula": "Zr2CdPdRu",
  "functional": "PBE-GGA",
  "state": "relaxed",
  "e_form_ev_per_atom": 0.720,
  "magmom_total_mub_per_cell": 0.53,
  "dft_energy_ev_per_atom": -5.7760,
  "rho_g_cm3": 6.9,
  "cell": [[4.9825, 0.0000, 0.0000], [0.0000, 4.9825, 0.0000], [0.0000, 0.0000, 4.8603]],
  "species": ["Zr", "Zr", "Cd", "Pd", "Ru"],
  "frac_coords": [[0.0000, 0.5000, 0.0000], [0.5000, 0.0000, 0.0000], [0.0000, 0.0000, 0.5000], [0.5000, 0.5000, 0.0000], [0.5000, 0.5000, 0.5000]]
}

=====

Record 7
{
  "formula": "NdZn2Co2Si",
  "functional": "PBE-GGA",
  "state": "relaxed",
  "magmom_total_mub_per_cell": 1.11,
  "dft_energy_ev_per_atom": -4.6984,
  "rho_g_cm3": 6.8,
  "e_form_raw_ev_per_atom": -0.207,
  "cell": [[4.2491, 0.0000, 0.0000], [0.0000, 4.2491, 0.0000], [0.0000, 0.0000, 5.7106]],
  "species": ["Nd", "Zn", "Zn", "Co", "Co", "Si"],
  "frac_coords": [[0.0000, 0.0000, 0.0000], [0.5000, 0.5000, 0.2402], [0.5000, 0.5000, 0.7598], [0.0000, 0.5000, 0.5000], [0.5000, 0.0000, 0.5000], [0.0000, 0.0000, 0.5000]]
}

=====

Looking at DOS at the Fermi energy for the records above, in order, we have 0.5103, 0.7444, 0.1440, 0.3404, 0.9648, 0.9952, 0.4063 states/eV per atom.